The following is a GGA-PBE calculation of a relaxed structure of SrTl2CuF6, from the Alexandria database.

Unit cell a=6.168 b=6.317 c=6.317 alpha=120.00 beta=90.00 gamma=90.00
Each line ends with the local moment (μB).
Sites, in units of the cell vectors:
Sr: 0.500 0.000 0.000  0.00
Tl: 0.076 0.333 0.667  0.00
Tl: 0.924 0.667 0.333  0.00
Cu: 0.000 0.000 0.000  0.72
F: 0.796 0.149 0.299  0.04
F: 0.796 0.149 0.851  0.04
F: 0.796 0.701 0.851  0.04
F: 0.204 0.851 0.149  0.04
F: 0.204 0.299 0.149  0.04
F: 0.204 0.851 0.701  0.04

Properties
- Energy relative to the elements, uncorrected: -2.262 eV per atom
- Space-group type: P-3m1 (164)
- Calculated density: 5.25 Mg/m³
- DOS at the Fermi energy: 6.9 states/eV per cell